Entry 1:
Computed, not measured: a relaxed CeAl2Pd5Au crystal at the PBE-GGA level of DFT.

Geometry as POSCAR:
```
CeAl2Pd5Au
1.0
4.0531 0.0000 0.0000
0.0000 4.0531 0.0000
0.0000 0.0000 9.6733
Ce Al Pd Au
1 2 5 1
Cartesian
0.0000 0.0000 0.0000
2.0265 2.0265 3.5925
2.0265 2.0265 6.0808
0.0000 2.0265 2.1506
0.0000 2.0265 7.5227
2.0265 0.0000 2.1506
2.0265 0.0000 7.5227
2.0265 2.0265 0.0000
0.0000 0.0000 4.8366
```

Computed properties:
mass density: 9.65 g cm⁻³
DFT formation energy: -0.563 eV per atom
space group: P4/mmm

***

Entry 2:
Computed, not measured: a relaxed Ce2AlPd6Au crystal at the PBE-GGA level of DFT.

Geometry as POSCAR:
```
Ce2AlPd6Au
1.0
5.3517 0.0000 0.0000
-2.3305 4.8199 0.0000
-2.3256 -1.8871 7.6666
Ce Al Pd Au
2 1 6 1
Cartesian
-0.7780 0.5084 2.3434
1.4737 2.4244 5.3233
1.5106 2.4100 0.0000
-1.6803 2.8316 1.2396
-0.4448 0.2708 5.2132
-1.3962 2.6343 6.4188
2.0918 0.2985 1.2478
1.1405 2.6621 2.4535
2.3760 0.1013 6.4270
1.5131 -0.9435 3.8333
```

Computed properties:
mass density: 9.59 g cm⁻³
DFT formation energy: -0.589 eV per atom
space group: P-1

***

Entry 3:
Computed, not measured: a relaxed CeAl3PdAu crystal at the PBE-GGA level of DFT.

Geometry as POSCAR:
```
CeAl3PdAu
1.0
2.9873 -6.6608 0.0000
2.9873 6.6608 0.0000
0.0000 0.0000 5.8773
Ce Al Pd Au
2 6 2 2
Cartesian
2.9873 3.9310 4.4080
2.9873 -3.9310 1.4693
1.2884 0.0000 0.0000
1.2884 0.0000 2.9387
2.9873 1.7003 1.4693
2.9873 -1.7003 4.4080
4.6863 0.0000 0.0000
4.6863 0.0000 2.9387
2.9873 1.2194 4.4080
2.9873 -1.2194 1.4693
2.9873 4.4382 1.4693
2.9873 -4.4382 4.4080
```

Computed properties:
mass density: 7.45 g cm⁻³
DFT formation energy: -0.484 eV per atom
space group: Cmcm

***

Entry 4:
Computed, not measured: a relaxed Ce2Al5Pd2Au crystal at the PBE-GGA level of DFT.

Geometry as POSCAR:
```
Ce2Al5Pd2Au
1.0
9.5972 0.0000 0.0000
0.0000 9.5972 0.0000
0.0000 0.0000 4.1740
Ce Al Pd Au
4 10 4 2
Cartesian
1.7830 3.0156 0.0000
3.0156 7.8142 0.0000
6.5816 1.7830 0.0000
7.8142 6.5816 0.0000
0.0000 4.7986 2.0870
0.4862 7.6357 2.0870
1.9615 0.4862 2.0870
2.8371 5.2848 2.0870
4.3124 2.8371 2.0870
4.7986 0.0000 2.0870
5.2848 6.7601 2.0870
6.7601 4.3124 2.0870
7.6357 9.1110 2.0870
9.1110 1.9615 2.0870
1.0848 5.8834 0.0000
3.7138 1.0848 0.0000
5.8834 8.5124 0.0000
8.5124 3.7138 0.0000
0.0000 0.0000 0.0000
4.7986 4.7986 0.0000
```

Computed properties:
mass density: 7.13 g cm⁻³
DFT formation energy: -0.614 eV per atom
space group: P4/mbm